First-principles (PBE-GGA) data for a relaxed structure of TlBPt3, as listed in OQMD.

For the magnetic moment, the calculation gives 0.000 μB per formula unit. The calculation puts the theoretical density at 16.59 Mg/m³. The total energy comes out at -5.58 eV per atom.

It has space group P6/mmm (No. 191), with a = 5.6835 Å, b = 5.6835 Å, c = 5.7266 Å, α = 90.00°, β = 90.00° and γ = 120.00°. Symmetry generates all atoms from Tl at (0.0000, 0.0000, 0.0000), Tl at (0.0000, 0.0000, 0.5000), B at (0.3333, 0.6667, 0.0000) and Pt at (0.0000, 0.5000, 0.2553).


First-principles (PBE-GGA) data for a relaxed structure of NaGaNiPb, as listed in OQMD.

For the magnetic moment, the calculation gives 0.000 μB per formula unit. The calculation puts the theoretical density at 7.41 Mg/m³. The total energy comes out at -3.18 eV per atom. The energy above the most stable polymorph in this dataset is 117 meV/atom.

It has space group F-43m (No. 216), with a = 6.849 Å, b = 6.849 Å, c = 6.849 Å, α = 90.00°, β = 90.00° and γ = 90.00°. Symmetry generates all atoms from Na at (0.000, 0.000, 0.000), Ga at (0.250, 0.250, 0.750), Ni at (0.250, 0.250, 0.250) and Pb at (0.000, 0.000, 0.500).


First-principles (PBE-GGA) data for a relaxed structure of Zr4Si3, as listed in OQMD.

For the magnetic moment, the calculation gives 0.003 μB per formula unit. The calculation puts the theoretical density at 4.83 Mg/m³. The total energy comes out at -7.57 eV per atom. The energy above the most stable polymorph in this dataset is 92 meV/atom.

It has space group P6_3/m (No. 176), with a = 8.2314 Å, b = 8.2314 Å, c = 5.2675 Å, α = 90.00°, β = 90.00° and γ = 120.00°. Symmetry generates all atoms from Zr at (0.0582, 0.3730, 0.2500), Zr at (0.3333, 0.6667, 0.7500) and Si at (0.0319, 0.3351, 0.7500).


First-principles (PBE-GGA) data for a relaxed structure of BaBeCoAs, as listed in OQMD.

For the magnetic moment, the calculation gives 0.002 μB per formula unit. The calculation puts the theoretical density at 6.25 Mg/m³. The total energy comes out at -3.76 eV per atom. The energy above the most stable polymorph in this dataset is 0 meV/atom.

It has space group F-43m (No. 216), with a = 6.677 Å, b = 6.677 Å, c = 6.677 Å, α = 90.00°, β = 90.00° and γ = 90.00°. Symmetry generates all atoms from Ba at (0.000, 0.000, 0.000), Be at (0.250, 0.250, 0.750), Co at (0.250, 0.250, 0.250) and As at (0.000, 0.000, 0.500).


First-principles (PBE-GGA) data for a relaxed structure of GdPO4, as listed in OQMD.

For the magnetic moment, the calculation gives 0.000 μB per formula unit. The calculation puts the theoretical density at 6.09 Mg/m³. The total energy comes out at -7.97 eV per atom.

It has space group P2_1/c (No. 14), with a = 6.294 Å, b = 6.803 Å, c = 7.950 Å, α = 90.00°, β = 126.15° and γ = 90.00°. Symmetry generates all atoms from Gd at (0.185, 0.154, 0.281), P at (0.311, 0.661, 0.198), O at (0.116, 0.662, 0.615), O at (0.184, 0.501, 0.250), O at (0.343, 0.603, 0.026) and O at (0.405, 0.211, 0.119).


First-principles (PBE-GGA) data for a relaxed structure of HfMg2Cu, as listed in OQMD.

For the magnetic moment, the calculation gives 0.004 μB per formula unit. The calculation puts the theoretical density at 6.83 Mg/m³. The total energy comes out at -4.09 eV per atom. The energy above the most stable polymorph in this dataset is 5 meV/atom.

It has space group F-43m (No. 216), with a = 6.564 Å, b = 6.564 Å, c = 6.564 Å, α = 90.00°, β = 90.00° and γ = 90.00°. Symmetry generates all atoms from Hf at (0.000, 0.000, 0.000), Mg at (0.000, 0.000, 0.500), Mg at (0.250, 0.250, 0.250) and Cu at (0.250, 0.250, 0.750).


First-principles (PBE-GGA) data for a relaxed structure of GdLuAg2Pb2, as listed in OQMD.

For the magnetic moment, the calculation gives 0.000 μB per formula unit. The calculation puts the theoretical density at 10.79 Mg/m³. The total energy comes out at -4.09 eV per atom.

It has space group P3m1 (No. 156), with a = 4.7964 Å, b = 4.7964 Å, c = 7.4319 Å, α = 90.00°, β = 90.00° and γ = 120.00°. Symmetry generates all atoms from Gd at (0.0000, 0.0000, 0.0000), Lu at (0.0000, 0.0000, 0.5018), Ag at (0.3333, 0.6667, 0.6797), Ag at (0.6667, 0.3333, 0.1884), Pb at (0.3333, 0.6667, 0.2820) and Pb at (0.6667, 0.3333, 0.7770).


First-principles (PBE-GGA) data for a relaxed structure of KTm2O4, as listed in OQMD.

For the magnetic moment, the calculation gives 1.000 μB per formula unit. The calculation puts the theoretical density at 6.26 Mg/m³. The total energy comes out at -7.02 eV per atom.

It has space group Fd-3m (No. 227, origin choice 2), with a = 9.782 Å, b = 9.782 Å, c = 9.782 Å, α = 90.00°, β = 90.00° and γ = 90.00°. Symmetry generates all atoms from K at (0.125, 0.125, 0.125), Tm at (0.000, 0.000, 0.500) and O at (0.023, 0.023, 0.727).


First-principles (PBE-GGA) data for a relaxed structure of LuScAl4Ni2, as listed in OQMD.

For the magnetic moment, the calculation gives 0.001 μB per formula unit. The calculation puts the theoretical density at 5.61 Mg/m³. The total energy comes out at -5.27 eV per atom.

It has space group Amm2 (No. 38), with a = 6.772 Å, b = 4.024 Å, c = 9.677 Å, α = 90.00°, β = 90.00° and γ = 90.00°. Symmetry generates all atoms from Lu at (0.000, 0.000, 0.000), Sc at (0.500, 0.000, 0.130), Al at (0.201, 0.000, 0.713), Al at (0.306, 0.000, 0.416), Ni at (0.000, 0.000, 0.280) and Ni at (0.500, 0.000, 0.854).


First-principles (PBE-GGA) data for a relaxed structure of GdFeAu, as listed in OQMD.

For the magnetic moment, the calculation gives 2.076 μB per formula unit. The calculation puts the theoretical density at 10.57 Mg/m³. The total energy comes out at -5.36 eV per atom. As for the formation enthalpy at 0 K: 52 meV/atom.

It has space group F-43m (No. 216), with a = 6.363 Å, b = 6.363 Å, c = 6.363 Å, α = 90.00°, β = 90.00° and γ = 90.00°. Symmetry generates all atoms from Gd at (0.000, 0.000, 0.000), Fe at (0.250, 0.250, 0.750) and Au at (0.000, 0.000, 0.500).


First-principles (PBE-GGA) data for a relaxed structure of TbCdCuTe3, as listed in OQMD.

For the magnetic moment, the calculation gives 0.001 μB per formula unit. The calculation puts the theoretical density at 7.23 Mg/m³. The total energy comes out at -3.73 eV per atom. The energy above the most stable polymorph in this dataset is 7 meV/atom.

It has space group Cmcm (No. 63), with a = 4.134 Å, b = 14.147 Å, c = 11.272 Å, α = 90.00°, β = 90.00° and γ = 90.00°. Symmetry generates all atoms from Tb at (0.000, 0.000, 0.000), Cd at (0.000, 0.235, 0.250), Cu at (0.000, 0.474, 0.750), Te at (0.000, 0.096, 0.750) and Te at (0.000, 0.351, 0.573).


First-principles (PBE-GGA) data for a relaxed structure of K2HgAsCl6, as listed in OQMD.

The calculation puts the theoretical density at 3.18 Mg/m³. The total energy comes out at -2.91 eV per atom.

It has space group Fm-3m (No. 225), with a = 10.576 Å, b = 10.576 Å, c = 10.576 Å, α = 90.00°, β = 90.00° and γ = 90.00°. Symmetry generates all atoms from K at (0.250, 0.250, 0.250), Hg at (0.000, 0.000, 0.000), As at (0.000, 0.000, 0.500) and Cl at (0.000, 0.000, 0.264).


What is the formula in the fourth record?
BaBeCoAs